# 1
Here is a geometry-optimized Na3Ce3SiO8 structure from the Alexandria database. Energies are from PBE-GGA.

Results
size of the total moment = 0.18 μB per atom
calculated total energy = -314.35 eV per cell

Cell and atoms, written as CIF:
```
data_Na3Ce3SiO8
_cell_length_a 6.7581
_cell_length_b 6.7581
_cell_length_c 16.9135
_cell_angle_alpha 90.00
_cell_angle_beta 90.00
_cell_angle_gamma 120.00
_space_group_name_H-M_alt 'R -3 m'
_space_group_IT_number 166
_space_group_name_Hall '-R 3 2"'
loop_
_atom_site_label
_atom_site_type_symbol
_atom_site_fract_x
_atom_site_fract_y
_atom_site_fract_z
Na1 Na 0.0000 0.5000 0.0000
Ce1 Ce 0.0000 0.5000 0.5000
Si1 Si 0.0000 0.0000 0.5000
O1 O 0.0000 0.0000 0.2452
O2 O 0.0658 0.5329 0.2273
```

# 2
Here is a geometry-optimized Na2Sr3CeO6 structure from the Alexandria database. Energies are from PBE-GGA.

Results
size of the total moment = 0.00 μB per atom
calculated total energy = -148.74 eV per cell

Cell and atoms, written as CIF:
```
data_Na2Sr3CeO6
_cell_length_a 6.2183
_cell_length_b 10.7408
_cell_length_c 6.1394
_cell_angle_alpha 90.00
_cell_angle_beta 109.55
_cell_angle_gamma 90.00
_space_group_name_H-M_alt 'C 1 2/m 1'
_space_group_IT_number 12
_space_group_name_Hall '-C 2y'
loop_
_atom_site_label
_atom_site_type_symbol
_atom_site_fract_x
_atom_site_fract_y
_atom_site_fract_z
Na1 Na 0.0000 0.1660 0.0000
Sr1 Sr 0.0000 0.0000 0.5000
Sr2 Sr 0.0000 0.3267 0.5000
Ce1 Ce 0.0000 0.5000 0.0000
O1 O 0.2160 0.5000 0.7601
O2 O 0.2312 0.3497 0.2421
```

# 3
Here is a geometry-optimized NaCeTa2O7 structure from the Alexandria database. Energies are from PBE-GGA.

Results
size of the total moment = 0.08 μB per atom
calculated total energy = -96.43 eV per cell

Cell and atoms, written as CIF:
```
data_NaCeTa2O7
_cell_length_a 3.8742
_cell_length_b 3.8742
_cell_length_c 11.1108
_cell_angle_alpha 90.00
_cell_angle_beta 90.00
_cell_angle_gamma 90.00
_space_group_name_H-M_alt 'P 4/m m m'
_space_group_IT_number 123
_space_group_name_Hall '-P 4 2'
loop_
_atom_site_label
_atom_site_type_symbol
_atom_site_fract_x
_atom_site_fract_y
_atom_site_fract_z
Na1 Na 0.0000 0.0000 0.0000
Ce1 Ce 0.0000 0.0000 0.5000
Ta1 Ta 0.5000 0.5000 0.2933
O1 O 0.0000 0.5000 0.3348
O2 O 0.5000 0.5000 0.1306
O3 O 0.5000 0.5000 0.5000
```

no.,formation energy (no corrections) (kJ/mol of formula units)
1,-3660
2,-2991
3,-2969